[1]
Ce2ZnSn: optimized geometry, GGA-PBE.

a = 4.6993 Å, b = 4.6993 Å, c = 4.5094 Å
α = 90.00°, β = 90.00°, γ = 90.00°
Atoms (fractional coordinates):
Ce: 0.0000 0.5000 0.0000
Ce: 0.5000 0.0000 0.0000
Zn: 0.0000 0.0000 0.5000
Sn: 0.5000 0.5000 0.5000

The value obtained for the energy relative to the elements is -401 meV per atom.



[2]
RbGe2Rh: optimized geometry, GGA-PBE.

a = 7.0711 Å, b = 7.0711 Å, c = 7.0711 Å
α = 34.52°, β = 34.52°, γ = 34.52°
Atoms (fractional coordinates):
Rb: 0.0000 0.0000 0.0000
Ge: 0.2045 0.2045 0.2045
Ge: 0.7955 0.7955 0.7955
Rh: 0.5000 0.5000 0.5000

The energy above the most stable polymorph in this dataset comes out at 0 meV per atom. The value obtained for the energy relative to the elements is -219 meV per atom.



[3]
Zn2HAu: optimized geometry, GGA-PBE.

a = 6.4060 Å, b = 6.4060 Å, c = 6.4060 Å
α = 136.48°, β = 136.48°, γ = 63.24°
Atoms (fractional coordinates):
Zn: 0.3750 0.2284 0.3534
Zn: 0.7716 0.1250 0.1466
Zn: 0.8750 0.0216 0.6466
Zn: 0.9784 0.6250 0.8534
H: 0.0000 0.0000 0.0000
H: 0.7500 0.2500 0.5000
Au: 0.2500 0.7500 0.5000
Au: 0.5000 0.5000 0.0000

The energy above the most stable polymorph in this dataset comes out at 157 meV per atom.



[4]
Dy3Ho2Tm6Th: optimized geometry, GGA-PBE.

a = 6.0946 Å, b = 6.0946 Å, c = 11.6350 Å
α = 95.02°, β = 95.02°, γ = 119.97°
Atoms (fractional coordinates):
Dy: 0.0000 0.0000 0.0000
Dy: 0.3326 0.6674 0.0000
Dy: 0.6674 0.3326 0.0000
Ho: 0.1667 0.8333 0.5000
Ho: 0.8333 0.1667 0.5000
Tm: 0.0860 0.4161 0.2506
Tm: 0.2538 0.2538 0.7494
Tm: 0.4161 0.0860 0.2506
Tm: 0.5839 0.9140 0.7494
Tm: 0.7462 0.7462 0.2506
Tm: 0.9140 0.5839 0.7494
Th: 0.5000 0.5000 0.5000

The value obtained for the energy relative to the elements is 24 meV per atom.



[5]
DyHoTlBi: optimized geometry, GGA-PBE.

a = 5.4339 Å, b = 5.4339 Å, c = 5.4339 Å
α = 60.00°, β = 60.00°, γ = 60.00°
Atoms (fractional coordinates):
Dy: 0.0000 0.0000 0.0000
Ho: 0.5000 0.5000 0.5000
Tl: 0.2500 0.2500 0.2500
Bi: 0.7500 0.7500 0.7500

The value obtained for the energy relative to the elements is -395 meV per atom.



[6]
VNiPdAu: optimized geometry, GGA-PBE.

a = 4.3583 Å, b = 4.3583 Å, c = 4.3583 Å
α = 60.00°, β = 60.00°, γ = 60.00°
Atoms (fractional coordinates):
V: 0.0000 0.0000 0.0000
Ni: 0.2500 0.2500 0.2500
Pd: 0.7500 0.7500 0.7500
Au: 0.5000 0.5000 0.5000

The value obtained for the energy relative to the elements is 16 meV per atom.



[7]
TiPbSeO6: optimized geometry, GGA-PBE.

a = 5.1201 Å, b = 5.1201 Å, c = 10.8388 Å
α = 90.00°, β = 90.00°, γ = 120.00°
Atoms (fractional coordinates):
Ti: 0.3333 0.6667 0.2500
Ti: 0.6667 0.3333 0.7500
Pb: 0.0000 0.0000 0.0000
Pb: 0.0000 0.0000 0.5000
Se: 0.3333 0.6667 0.7500
Se: 0.6667 0.3333 0.2500
O: 0.0207 0.3959 0.6528
O: 0.0207 0.6248 0.8472
O: 0.3752 0.3959 0.8472
O: 0.3752 0.9793 0.6528
O: 0.3959 0.0207 0.1528
O: 0.3959 0.3752 0.3472
O: 0.6041 0.6248 0.6528
O: 0.6041 0.9793 0.8472
O: 0.6248 0.0207 0.3472
O: 0.6248 0.6041 0.1528
O: 0.9793 0.3752 0.1528
O: 0.9793 0.6041 0.3472

As for the raw formation energy: -1.540 eV per atom.



[8]
Li8Mg2Cd: optimized geometry, GGA-PBE.

a = 8.1259 Å, b = 8.1259 Å, c = 5.1289 Å
α = 108.18°, β = 108.18°, γ = 122.74°
Atoms (fractional coordinates):
Li: 0.1059 0.3378 0.7795
Li: 0.2039 0.7961 0.0000
Li: 0.3378 0.1059 0.7795
Li: 0.4201 0.4201 0.6437
Li: 0.5799 0.5799 0.3563
Li: 0.6622 0.8941 0.2205
Li: 0.7961 0.2039 0.0000
Li: 0.8941 0.6622 0.2205
Mg: 0.3109 0.6891 0.5000
Mg: 0.6891 0.3109 0.5000
Cd: 0.0000 0.0000 0.0000

The energy above the most stable polymorph in this dataset comes out at 65 meV per atom. The value obtained for the energy relative to the elements is -15 meV per atom.



[9]
UCu4: optimized geometry, GGA-PBE.

a = 5.0169 Å, b = 5.0169 Å, c = 5.0169 Å
α = 90.00°, β = 90.00°, γ = 90.00°
Atoms (fractional coordinates):
U: 0.0000 0.0000 0.0000
Cu: 0.0000 0.0000 0.5000
Cu: 0.0000 0.5000 0.0000
Cu: 0.5000 0.0000 0.0000
Cu: 0.5000 0.5000 0.5000

The value obtained for the energy relative to the elements is 1823 meV per atom.



[10]
In2BiW: optimized geometry, GGA-PBE.

a = 11.1598 Å, b = 11.1598 Å, c = 11.1598 Å
α = 157.77°, β = 157.77°, γ = 31.65°
Atoms (fractional coordinates):
In: 0.1046 0.6250 0.9796
In: 0.3750 0.3546 0.4796
In: 0.6454 0.1250 0.0204
In: 0.8750 0.8954 0.5204
Bi: 0.2500 0.7500 0.5000
Bi: 0.5000 0.5000 0.0000
W: 0.0000 0.0000 0.0000
W: 0.7500 0.2500 0.5000

The value obtained for the energy relative to the elements is 918 meV per atom.



[11]
LiHfH3: optimized geometry, GGA-PBE.

a = 3.2527 Å, b = 3.2654 Å, c = 8.6087 Å
α = 89.92°, β = 89.97°, γ = 89.53°
Atoms (fractional coordinates):
Li: 0.2480 0.2503 0.3811
Li: 0.7520 0.7497 0.6189
Hf: 0.2522 0.2489 0.8545
Hf: 0.7478 0.7511 0.1455
H: 0.2476 0.7508 0.2819
H: 0.2494 0.7493 0.9993
H: 0.2520 0.7500 0.7197
H: 0.7480 0.2500 0.2803
H: 0.7506 0.2507 0.0007
H: 0.7524 0.2492 0.7181

The energy above the most stable polymorph in this dataset comes out at 0 meV per atom.



[12]
Rb2SiAgF6: optimized geometry, GGA-PBE.

a = 6.4552 Å, b = 6.4552 Å, c = 6.4552 Å
α = 60.00°, β = 60.00°, γ = 60.00°
Atoms (fractional coordinates):
Rb: 0.2500 0.2500 0.2500
Rb: 0.7500 0.7500 0.7500
Si: 0.0000 0.0000 0.0000
Ag: 0.5000 0.5000 0.5000
F: 0.1889 0.1889 0.8111
F: 0.1889 0.8111 0.1889
F: 0.1889 0.8111 0.8111
F: 0.8111 0.1889 0.1889
F: 0.8111 0.1889 0.8111
F: 0.8111 0.8111 0.1889

As for the raw formation energy: -2.540 eV per atom.



[13]
Sr2NbAgPt: optimized geometry, GGA-PBE.

a = 5.8009 Å, b = 5.8009 Å, c = 5.0357 Å
α = 90.00°, β = 90.00°, γ = 90.00°
Atoms (fractional coordinates):
Sr: 0.0000 0.5000 0.0000
Sr: 0.5000 0.0000 0.0000
Nb: 0.0000 0.0000 0.5000
Ag: 0.0000 0.0000 0.0000
Pt: 0.5000 0.5000 0.5000

The value obtained for the energy relative to the elements is 830 meV per atom.



[14]
Ac2ZnPdO6: optimized geometry, GGA-PBE.

a = 5.7677 Å, b = 5.7632 Å, c = 9.9426 Å
α = 90.00°, β = 125.35°, γ = 90.00°
Atoms (fractional coordinates):
Ac: 0.2435 0.0359 0.2501
Ac: 0.2435 0.4641 0.7501
Ac: 0.7565 0.5359 0.2499
Ac: 0.7565 0.9641 0.7499
Zn: 0.5000 0.0000 0.0000
Zn: 0.5000 0.5000 0.5000
Pd: 0.0000 0.0000 0.5000
Pd: 0.0000 0.5000 0.0000
O: 0.1728 0.2194 0.9601
O: 0.1728 0.2806 0.4601
O: 0.2400 0.7143 0.9602
O: 0.2400 0.7857 0.4602
O: 0.3205 0.0134 0.7474
O: 0.3205 0.4866 0.2474
O: 0.6795 0.5134 0.7526
O: 0.6795 0.9866 0.2526
O: 0.7600 0.2143 0.5398
O: 0.7600 0.2857 0.0398
O: 0.8272 0.7194 0.5399
O: 0.8272 0.7806 0.0399

As for the raw formation energy: -2.143 eV per atom.



[15]
Hg7Se: optimized geometry, GGA-PBE.

a = 6.5961 Å, b = 6.5961 Å, c = 6.5961 Å
α = 60.00°, β = 60.00°, γ = 60.00°
Atoms (fractional coordinates):
Hg: 0.0000 0.0000 0.0000
Hg: 0.0000 0.0000 0.5000
Hg: 0.0000 0.5000 0.0000
Hg: 0.0000 0.5000 0.5000
Hg: 0.5000 0.0000 0.0000
Hg: 0.5000 0.0000 0.5000
Hg: 0.5000 0.5000 0.0000
Se: 0.5000 0.5000 0.5000

As for the raw formation energy: 0.132 eV per atom.



[16]
Na10B13C7: optimized geometry, GGA-PBE.

a = 8.5124 Å, b = 12.7315 Å, c = 12.7315 Å
α = 12.80°, β = 90.00°, γ = 90.00°
Atoms (fractional coordinates):
Na: 0.2461 0.0000 0.0000
Na: 0.2490 0.6002 0.6002
Na: 0.2501 0.7992 0.7992
Na: 0.2506 0.3994 0.3994
Na: 0.2520 0.1997 0.1997
Na: 0.7480 0.1997 0.1997
Na: 0.7494 0.3994 0.3994
Na: 0.7499 0.7992 0.7992
Na: 0.7510 0.6002 0.6002
Na: 0.7539 0.0000 0.0000
B: 0.0000 0.1364 0.1364
B: 0.0000 0.3301 0.3301
B: 0.0000 0.4669 0.4669
B: 0.0000 0.5388 0.5388
B: 0.0000 0.7333 0.7333
B: 0.0000 0.9265 0.9265
B: 0.5000 0.0666 0.0666
B: 0.5000 0.2694 0.2694
B: 0.5000 0.4729 0.4729
B: 0.5000 0.6612 0.6612
B: 0.5000 0.7306 0.7306
B: 0.5000 0.8640 0.8640
B: 0.5000 0.9332 0.9332
C: 0.0000 0.0707 0.0707
C: 0.0000 0.2652 0.2652
C: 0.0000 0.6680 0.6680
C: 0.0000 0.8624 0.8624
C: 0.5000 0.1306 0.1306
C: 0.5000 0.3329 0.3329
C: 0.5000 0.5356 0.5356

The energy above the most stable polymorph in this dataset comes out at 11 meV per atom. The value obtained for the energy relative to the elements is 96 meV per atom.



[17]
MgZrRe2: optimized geometry, GGA-PBE.

a = 2.8078 Å, b = 4.5150 Å, c = 5.5475 Å
α = 90.00°, β = 102.08°, γ = 90.00°
Atoms (fractional coordinates):
Mg: 0.0000 0.0000 0.0000
Zr: 0.3143 0.5000 0.7420
Re: 0.6049 0.0000 0.4624
Re: 0.8135 0.5000 0.2608

The value obtained for the energy relative to the elements is 125 meV per atom.



[18]
Ta3Br: optimized geometry, GGA-PBE.

a = 4.9781 Å, b = 4.9781 Å, c = 4.9781 Å
α = 127.63°, β = 127.63°, γ = 77.23°
Atoms (fractional coordinates):
Ta: 0.0000 0.0000 0.0000
Ta: 0.2500 0.7500 0.5000
Ta: 0.7500 0.2500 0.5000
Br: 0.5000 0.5000 0.0000

As for the raw formation energy: 0.788 eV per atom. The energy above the most stable polymorph in this dataset comes out at 436 meV per atom.



[19]
Y2Sc2Tl: optimized geometry, GGA-PBE.

a = 8.4487 Å, b = 8.4487 Å, c = 8.4487 Å
α = 150.35°, β = 150.35°, γ = 42.42°
Atoms (fractional coordinates):
Y: 0.2500 0.7500 0.5000
Y: 0.7500 0.2500 0.5000
Sc: 0.0859 0.0859 0.0000
Sc: 0.9141 0.9141 0.0000
Tl: 0.5000 0.5000 0.0000

The energy above the most stable polymorph in this dataset comes out at 468 meV per atom. The value obtained for the energy relative to the elements is 429 meV per atom.



[20]
BaAcAlPb: optimized geometry, GGA-PBE.

a = 5.8689 Å, b = 5.8689 Å, c = 5.8689 Å
α = 60.00°, β = 60.00°, γ = 60.00°
Atoms (fractional coordinates):
Ba: 0.0000 0.0000 0.0000
Ac: 0.5000 0.5000 0.5000
Al: 0.7500 0.7500 0.7500
Pb: 0.2500 0.2500 0.2500

The value obtained for the energy relative to the elements is -256 meV per atom.



[21]
LiGe2Mo2: optimized geometry, GGA-PBE.

a = 6.6826 Å, b = 6.6826 Å, c = 3.4299 Å
α = 90.00°, β = 90.00°, γ = 90.00°
Atoms (fractional coordinates):
Li: 0.0000 0.0000 0.0000
Li: 0.5000 0.5000 0.0000
Ge: 0.1401 0.3599 0.0000
Ge: 0.3599 0.8599 0.0000
Ge: 0.6401 0.1401 0.0000
Ge: 0.8599 0.6401 0.0000
Mo: 0.1603 0.6603 0.5000
Mo: 0.3397 0.1603 0.5000
Mo: 0.6603 0.8397 0.5000
Mo: 0.8397 0.3397 0.5000

The energy above the most stable polymorph in this dataset comes out at 0 meV per atom. The value obtained for the energy relative to the elements is -68 meV per atom.



[22]
HfBAu: optimized geometry, GGA-PBE.

a = 4.4935 Å, b = 4.4935 Å, c = 5.2360 Å
α = 90.00°, β = 90.00°, γ = 120.00°
Atoms (fractional coordinates):
Hf: 0.3333 0.6667 0.2500
Hf: 0.6667 0.3333 0.7500
B: 0.3333 0.6667 0.7500
B: 0.6667 0.3333 0.2500
Au: 0.0000 0.0000 0.0000
Au: 0.0000 0.0000 0.5000

The value obtained for the energy relative to the elements is 119 meV per atom.



[23]
PPbIBr2: optimized geometry, GGA-PBE.

a = 5.7086 Å, b = 5.7086 Å, c = 6.5008 Å
α = 90.00°, β = 90.00°, γ = 90.00°
Atoms (fractional coordinates):
P: 0.0000 0.0000 0.0000
Pb: 0.5000 0.5000 0.5000
I: 0.5000 0.5000 0.0000
Br: 0.0000 0.5000 0.5000
Br: 0.5000 0.0000 0.5000

As for the raw formation energy: 0.294 eV per atom.



[24]
Zr2In2Co: optimized geometry, GGA-PBE.

a = 6.8470 Å, b = 6.8470 Å, c = 4.4069 Å
α = 90.00°, β = 90.00°, γ = 90.00°
Atoms (fractional coordinates):
Zr: 0.1668 0.3332 0.0000
Zr: 0.3332 0.8332 0.0000
Zr: 0.6668 0.1668 0.0000
Zr: 0.8332 0.6668 0.0000
In: 0.1452 0.6452 0.5000
In: 0.3548 0.1452 0.5000
In: 0.6452 0.8548 0.5000
In: 0.8548 0.3548 0.5000
Co: 0.0000 0.0000 0.5000
Co: 0.5000 0.5000 0.5000

The energy above the most stable polymorph in this dataset comes out at 0 meV per atom. The value obtained for the energy relative to the elements is 2 meV per atom.



Number 1: final energy -4.69 eV/atom. Number 2: final energy -4.61 eV/atom. Number 3: final energy -2.07 eV/atom. Number 4: final energy -4.74 eV/atom. Number 5: final energy -4.25 eV/atom. Number 6: final energy -5.83 eV/atom. Number 7: final energy -6.52 eV/atom. Number 8: final energy -1.78 eV/atom. Number 9: final energy -3.71 eV/atom. Number 10: final energy -4.66 eV/atom. Number 11: final energy -4.83 eV/atom. Number 12: final energy -4.68 eV/atom. Number 13: final energy -3.63 eV/atom. Number 14: final energy -6.59 eV/atom. Number 15: final energy -0.57 eV/atom. Number 16: final energy -5.39 eV/atom. Number 17: final energy -8.63 eV/atom. Number 18: final energy -8.52 eV/atom. Number 19: final energy -5.16 eV/atom. Number 20: final energy -3.63 eV/atom. Number 21: final energy -6.63 eV/atom. Number 22: final energy -6.52 eV/atom. Number 23: final energy -2.51 eV/atom. Number 24: final energy -5.93 eV/atom.